Record 1
Compound: Ca2HfAu
Source: Alexandria
Functional: PBE-GGA
Structure: relaxed

a = 7.481 Å, b = 7.481 Å, c = 7.481 Å
α = 90.00°, β = 90.00°, γ = 90.00°
Positions (direct):
Ca (0.250, 0.250, 0.250)
Ca (0.250, 0.250, 0.750)
Ca (0.250, 0.750, 0.250)
Ca (0.250, 0.750, 0.750)
Ca (0.750, 0.250, 0.250)
Ca (0.750, 0.250, 0.750)
Ca (0.750, 0.750, 0.250)
Ca (0.750, 0.750, 0.750)
Hf (0.000, 0.000, 0.000)
Hf (0.000, 0.500, 0.500)
Hf (0.500, 0.000, 0.500)
Hf (0.500, 0.500, 0.000)
Au (0.000, 0.000, 0.500)
Au (0.000, 0.500, 0.000)
Au (0.500, 0.000, 0.000)
Au (0.500, 0.500, 0.500)

Results
For the formation energy, the calculation gives 0.28 eV/atom. The space group is Fm-3m (225). As for the energy above the most stable polymorph in this dataset: 0.053 eV per atom.

---

Record 2
Compound: SmY2Ga
Source: Alexandria
Functional: PBE-GGA
Structure: relaxed

a = 4.786 Å, b = 4.786 Å, c = 4.739 Å
α = 90.00°, β = 90.00°, γ = 90.00°
Positions (direct):
Sm (0.000, 0.000, 0.000)
Y (0.000, 0.500, 0.500)
Y (0.500, 0.000, 0.500)
Ga (0.500, 0.500, 0.000)

Results
For the formation energy, the calculation gives -0.24 eV/atom. The space group is P4/mmm (123). As for the energy above the most stable polymorph in this dataset: 0.059 eV per atom.

---

Record 3
Compound: Rb2Sn5Hg3
Source: Alexandria
Functional: PBE-GGA
Structure: relaxed

a = 10.181 Å, b = 10.181 Å, c = 10.181 Å
α = 106.56°, β = 88.20°, γ = 138.28°
Positions (direct):
Rb (0.122, 0.242, 0.363)
Rb (0.378, 0.742, 0.120)
Rb (0.622, 0.258, 0.880)
Rb (0.878, 0.758, 0.637)
Sn (0.011, 0.750, 0.261)
Sn (0.132, 0.878, 0.010)
Sn (0.250, 0.750, 0.500)
Sn (0.368, 0.378, 0.746)
Sn (0.489, 0.750, 0.739)
Sn (0.511, 0.250, 0.261)
Sn (0.632, 0.622, 0.254)
Sn (0.750, 0.250, 0.500)
Sn (0.868, 0.122, 0.990)
Sn (0.989, 0.250, 0.739)
Hg (0.121, 0.642, 0.763)
Hg (0.250, 0.250, 0.000)
Hg (0.379, 0.142, 0.521)
Hg (0.621, 0.858, 0.479)
Hg (0.750, 0.750, 0.000)
Hg (0.879, 0.358, 0.237)

Results
For the formation energy, the calculation gives -0.16 eV/atom. The space group is Ibam (72).

---

Number 1: total magnetic moment 0.00 μB per cell. Number 2: total magnetic moment 0.55 μB per cell. Number 3: total magnetic moment 0.00 μB per cell.